1.
# La2AlS

A relaxed structure of La2AlS (PBE-GGA, the Alexandria database).

Properties
Formation energy from raw total energies (eV/f.u.): -2.858
Offset from the most stable computed form (meV/atom): 0
Crystal system: cubic

a b c (Å): 5.291 5.291 5.291
angles (deg): 60.00 60.00 60.00
Element x y z (fractional)
La  0.750  0.750  0.750
La  0.250  0.250  0.250
S  0.500  0.500  0.500
Al  0.000  0.000  0.000



2.
# La2AlS5

A relaxed structure of La2AlS5 (PBE-GGA, the Alexandria database).

Properties
Formation energy from raw total energies (eV/f.u.): -11.549
Crystal system: orthorhombic

a b c (Å): 5.455 7.476 12.060
angles (deg): 90.00 90.00 111.40
Element x y z (fractional)
La  0.150  0.299  0.570
La  0.850  0.701  0.430
La  0.850  0.701  0.070
La  0.150  0.299  0.930
S  0.284  0.567  0.750
S  0.703  0.407  0.599
S  0.046  0.092  0.363
S  0.297  0.593  0.099
S  0.297  0.593  0.401
S  0.954  0.908  0.637
S  0.046  0.092  0.137
S  0.716  0.433  0.250
S  0.954  0.908  0.863
S  0.703  0.407  0.901
Al  0.190  0.379  0.250
Al  0.810  0.621  0.750



3.
# LaAl2S4

A relaxed structure of LaAl2S4 (PBE-GGA, the Alexandria database).

Properties
Formation energy from raw total energies (eV/f.u.): -8.995
Offset from the most stable computed form (meV/atom): 8
Crystal system: monoclinic

a b c (Å): 7.232 8.054 7.226
angles (deg): 76.57 59.97 62.36
Element x y z (fractional)
S  0.562  0.753  0.831
S  0.066  0.748  0.331
S  0.604  0.350  0.236
S  0.147  0.248  0.169
S  0.189  0.649  0.766
S  0.589  0.850  0.264
S  0.705  0.149  0.734
S  0.143  0.253  0.669
Al  0.462  0.671  0.183
Al  0.311  0.328  0.818
Al  0.395  0.171  0.317
Al  0.878  0.828  0.682
La  0.974  0.001  0.001
La  0.726  0.501  0.499



4.
# LaAl6S8

A relaxed structure of LaAl6S8 (PBE-GGA, the Alexandria database).

Properties
Formation energy from raw total energies (eV/f.u.): -13.374
Crystal system: trigonal

a b c (Å): 6.726 6.726 6.726
angles (deg): 93.50 93.50 93.50
Element x y z (fractional)
S  0.731  0.731  0.731
S  0.217  0.615  0.915
S  0.085  0.783  0.385
S  0.615  0.915  0.217
S  0.915  0.217  0.615
S  0.385  0.085  0.783
S  0.269  0.269  0.269
S  0.783  0.385  0.085
Al  0.339  0.613  0.252
Al  0.252  0.339  0.613
Al  0.387  0.748  0.661
Al  0.748  0.661  0.387
Al  0.661  0.387  0.748
Al  0.613  0.252  0.339
La  0.000  0.000  0.000



5.
# SrLaAlS4

A relaxed structure of SrLaAlS4 (PBE-GGA, the Alexandria database).

Properties
Formation energy from raw total energies (eV/f.u.): -12.621
Crystal system: monoclinic

a b c (Å): 6.685 6.685 8.209
angles (deg): 90.00 107.44 90.00
Element x y z (fractional)
S  0.997  0.504  0.744
S  0.003  0.496  0.256
S  0.567  0.250  0.866
S  0.576  0.250  0.415
S  0.003  0.004  0.256
S  0.424  0.750  0.585
S  0.997  0.996  0.744
S  0.433  0.750  0.134
La  0.777  0.750  0.446
La  0.223  0.250  0.554
Sr  0.262  0.250  0.066
Sr  0.738  0.750  0.934
Al  0.766  0.250  0.691
Al  0.234  0.750  0.309



6.
# SrLaAl2S

A relaxed structure of SrLaAl2S (PBE-GGA, the Alexandria database).

Properties
Formation energy from raw total energies (eV/f.u.): -0.635
Crystal system: tetragonal

a b c (Å): 5.125 5.351 5.125
angles (deg): 90.00 90.00 90.00
Element x y z (fractional)
S  0.000  0.000  0.000
Sr  0.000  0.500  0.000
La  0.500  0.500  0.500
Al  0.000  0.000  0.500
Al  0.500  0.000  0.000



7.
# LaAlTlS3

A relaxed structure of LaAlTlS3 (PBE-GGA, the Alexandria database).

Properties
Formation energy from raw total energies (eV/f.u.): -7.361
Crystal system: monoclinic

a b c (Å): 4.634 8.152 8.741
angles (deg): 103.30 90.00 106.51
Element x y z (fractional)
Tl  0.353  0.706  0.937
Tl  0.647  0.294  0.063
S  0.494  0.988  0.722
S  0.849  0.698  0.211
S  0.506  0.012  0.278
S  0.837  0.674  0.640
S  0.163  0.326  0.360
S  0.151  0.302  0.789
La  0.354  0.707  0.429
La  0.646  0.293  0.571
Al  0.998  0.997  0.656
Al  0.002  0.003  0.344



8.
# La3AlTl4S8

A relaxed structure of La3AlTl4S8 (PBE-GGA, the Alexandria database).

Properties
Formation energy from raw total energies (eV/f.u.): -20.241
Crystal system: trigonal

a b c (Å): 8.265 8.873 8.266
angles (deg): 117.79 120.00 90.00
Element x y z (fractional)
Tl  0.500  0.000  0.500
Tl  0.000  0.000  0.500
Tl  0.500  0.000  0.000
Tl  0.000  0.000  0.000
S  0.766  0.691  0.979
S  0.213  0.691  0.979
S  0.736  0.709  0.473
S  0.234  0.309  0.021
S  0.213  0.692  0.426
S  0.787  0.309  0.021
S  0.787  0.308  0.574
S  0.264  0.291  0.527
Al  0.000  0.500  0.000
La  0.000  0.500  0.500
La  0.500  0.500  0.000
La  0.500  0.500  0.500



9.
# La3AlVS7

A relaxed structure of La3AlVS7 (PBE-GGA, the Alexandria database).

Properties
Formation energy from raw total energies (eV/f.u.): -21.432
Crystal system: hexagonal

a b c (Å): 10.178 10.178 6.111
angles (deg): 90.00 90.00 120.00
Element x y z (fractional)
S  0.333  0.667  0.004
S  0.900  0.419  0.995
S  0.223  0.135  0.288
S  0.912  0.777  0.288
S  0.667  0.333  0.504
S  0.865  0.088  0.288
S  0.088  0.223  0.788
S  0.135  0.912  0.788
S  0.777  0.865  0.788
S  0.581  0.481  0.995
S  0.100  0.581  0.495
S  0.519  0.100  0.995
S  0.481  0.900  0.495
S  0.419  0.519  0.495
V  0.000  0.000  0.537
V  0.000  0.000  0.037
La  0.231  0.856  0.217
La  0.625  0.769  0.217
La  0.375  0.231  0.717
La  0.144  0.375  0.217
La  0.769  0.144  0.717
La  0.856  0.625  0.717
Al  0.667  0.333  0.139
Al  0.333  0.667  0.639



10.
# La2AlVS6

A relaxed structure of La2AlVS6 (PBE-GGA, the Alexandria database).

Properties
Formation energy from raw total energies (eV/f.u.): -15.633
Crystal system: monoclinic

a b c (Å): 6.422 6.966 9.270
angles (deg): 90.00 89.89 90.00
Element x y z (fractional)
S  0.401  0.988  0.749
S  0.813  0.811  0.547
S  0.599  0.012  0.251
S  0.901  0.512  0.249
S  0.813  0.807  0.953
S  0.313  0.689  0.047
S  0.099  0.488  0.751
S  0.687  0.307  0.547
S  0.687  0.311  0.953
S  0.187  0.189  0.453
S  0.187  0.193  0.047
S  0.313  0.693  0.453
La  0.467  0.406  0.252
La  0.967  0.094  0.752
La  0.033  0.906  0.248
La  0.533  0.594  0.748
V  0.500  0.000  0.000
V  0.000  0.500  0.500
Al  0.500  0.000  0.500
Al  0.000  0.500  0.000



11.
# LaAlV2S

A relaxed structure of LaAlV2S (PBE-GGA, the Alexandria database).

Properties
Formation energy from raw total energies (eV/f.u.): 0.428
Crystal system: tetragonal

a b c (Å): 4.493 5.013 4.493
angles (deg): 90.00 90.00 90.00
Element x y z (fractional)
Al  0.000  0.500  0.000
La  0.500  0.500  0.500
V  0.000  0.000  0.500
V  0.500  0.000  0.000
S  0.000  0.000  0.000



12.
# La3AlZnS7

A relaxed structure of La3AlZnS7 (PBE-GGA, the Alexandria database).

Properties
Formation energy from raw total energies (eV/f.u.): -20.918
Crystal system: hexagonal

a b c (Å): 10.280 10.280 6.129
angles (deg): 90.00 90.00 120.00
Element x y z (fractional)
S  0.157  0.906  0.284
S  0.480  0.897  0.020
S  0.103  0.583  0.020
S  0.897  0.417  0.520
S  0.333  0.667  0.534
S  0.094  0.251  0.284
S  0.251  0.157  0.784
S  0.843  0.094  0.784
S  0.520  0.103  0.520
S  0.417  0.520  0.020
S  0.583  0.480  0.520
S  0.667  0.333  0.034
S  0.749  0.843  0.284
S  0.906  0.749  0.784
Zn  0.000  0.000  0.318
Zn  0.000  0.000  0.818
Al  0.667  0.333  0.668
Al  0.333  0.667  0.168
La  0.763  0.138  0.250
La  0.237  0.862  0.750
La  0.375  0.237  0.250
La  0.625  0.763  0.750
La  0.138  0.375  0.750
La  0.862  0.625  0.250



13.
# LaAl2Sb

A relaxed structure of LaAl2Sb (PBE-GGA, the Alexandria database).

Properties
Formation energy from raw total energies (eV/f.u.): -0.527
Crystal system: cubic

a b c (Å): 5.233 5.233 5.233
angles (deg): 60.00 60.00 60.00
Element x y z (fractional)
La  0.500  0.500  0.500
Al  0.000  0.000  0.000
Al  0.750  0.750  0.750
Sb  0.250  0.250  0.250



14.
# LaAl2Sb

A relaxed structure of LaAl2Sb (PBE-GGA, the Alexandria database).

Properties
Formation energy from raw total energies (eV/f.u.): -1.381
Crystal system: orthorhombic

a b c (Å): 3.776 3.776 6.809
angles (deg): 90.00 90.00 90.18
Element x y z (fractional)
Al  0.500  0.500  0.199
Al  0.000  0.000  0.011
Sb  0.500  0.500  0.796
La  0.000  0.000  0.493



15.
# LaAl2Sb2

A relaxed structure of LaAl2Sb2 (PBE-GGA, the Alexandria database).

Properties
Formation energy from raw total energies (eV/f.u.): -1.533
Crystal system: tetragonal

a b c (Å): 7.922 7.922 3.923
angles (deg): 90.00 90.00 90.00
Element x y z (fractional)
Sb  0.174  0.674  0.500
Sb  0.826  0.326  0.500
Sb  0.326  0.174  0.500
Sb  0.674  0.826  0.500
Al  0.118  0.382  0.000
Al  0.882  0.618  0.000
Al  0.382  0.882  0.000
Al  0.618  0.118  0.000
La  0.000  0.000  0.000
La  0.500  0.500  0.000



16.
# LaAl2Sb

A relaxed structure of LaAl2Sb (PBE-GGA, the Alexandria database).

Properties
Formation energy from raw total energies (eV/f.u.): -1.029
Crystal system: monoclinic

a b c (Å): 5.038 4.290 5.047
angles (deg): 88.60 90.00 90.00
Element x y z (fractional)
Al  0.000  0.871  0.001
Al  0.000  0.629  0.499
La  0.500  0.250  0.250
Sb  0.500  0.750  0.750



17.
# LaAl2Sb2

A relaxed structure of LaAl2Sb2 (PBE-GGA, the Alexandria database).

Properties
Formation energy from raw total energies (eV/f.u.): -1.435
Crystal system: tetragonal

a b c (Å): 4.125 4.125 8.229
angles (deg): 75.49 75.49 90.00
Element x y z (fractional)
Al  0.750  0.250  0.500
Al  0.250  0.750  0.500
Sb  0.606  0.606  0.789
Sb  0.394  0.394  0.211
La  0.000  0.000  0.000



18.
# LaAl2Sb

A relaxed structure of LaAl2Sb (PBE-GGA, the Alexandria database).

Properties
Formation energy from raw total energies (eV/f.u.): -1.278
Crystal system: orthorhombic

a b c (Å): 5.983 5.983 5.983
angles (deg): 136.93 136.70 62.73
Element x y z (fractional)
La  0.250  0.750  0.500
Sb  0.750  0.250  0.500
Al  0.999  0.999  0.000
Al  0.501  0.501  0.000



19.
# LaAl2Sb

A relaxed structure of LaAl2Sb (PBE-GGA, the Alexandria database).

Properties
Formation energy from raw total energies (eV/f.u.): -1.022
Crystal system: tetragonal

a b c (Å): 3.776 3.776 6.856
angles (deg): 90.00 90.00 90.00
Element x y z (fractional)
Al  0.000  0.000  0.951
Al  0.000  0.000  0.549
La  0.500  0.500  0.250
Sb  0.500  0.500  0.750



20.
# La2Al2Sb

A relaxed structure of La2Al2Sb (PBE-GGA, the Alexandria database).

Properties
Formation energy from raw total energies (eV/f.u.): -2.715
Crystal system: tetragonal

a b c (Å): 7.597 7.597 4.717
angles (deg): 90.00 90.00 90.00
Element x y z (fractional)
Al  0.623  0.123  0.000
Al  0.123  0.377  0.000
Al  0.877  0.623  0.000
Al  0.377  0.877  0.000
La  0.827  0.327  0.500
La  0.173  0.673  0.500
La  0.327  0.173  0.500
La  0.673  0.827  0.500
Sb  0.500  0.500  0.000
Sb  0.000  0.000  0.000